Ce5Ti | PBE-GGA | relaxed

* size of the total moment: 0.000 μB/f.u.
* energy of formation: 0.097 eV per atom
* symmetry: Cmmm, No. 65
* theoretical density: 8.39 g/cm³
* DOS at the Fermi energy: 14.219 states/eV/f.u.

```
Ce5Ti
1.0
2.287 -7.043 0.000
2.287 7.043 0.000
0.000 0.000 4.599
Ce Ti
5 1
Cartesian
0.000 0.000 0.000
2.287 4.673 2.299
2.287 2.254 0.000
2.287 -2.254 0.000
2.287 -4.673 2.299
2.287 0.000 2.299
```